Record 1
## Pm2PuMn2N6 (PBE)

Data for a relaxed structure of Pm2PuMn2N6.

The structure belongs to space group R-3m (No. 166, hexagonal axes); the cell edges are 5.5982, 5.5982 and 17.1776 Å and the angles 90.00°, 90.00° and 120.00°. The distinct sites, in fractional coordinates, are Pm at (0.0000, 0.0000, 0.2096), Pu at (0.0000, 0.0000, 0.0000), Mn at (0.0000, 0.0000, 0.4013) and N at (0.0068, 0.5034, 0.7602).

For the raw total energy, the calculation gives -299.77 eV per cell. The uncorrected formation energy is -0.71 eV/atom.

=====

Record 2
## InSnSeCl (PBE)

Data for a relaxed structure of InSnSeCl.

The structure belongs to space group R-3m (No. 166, hexagonal axes); the cell edges are 5.1645, 5.1645 and 35.3635 Å and the angles 90.00°, 90.00° and 120.00°. The distinct sites, in fractional coordinates, are In at (0.0000, 0.0000, 0.1157), Sn at (0.0000, 0.0000, 0.2952), Se at (0.0000, 0.0000, 0.3742) and Cl at (0.0000, 0.0000, 0.1977).

For the raw total energy, the calculation gives -85.64 eV per cell. The uncorrected formation energy is -0.55 eV/atom.

=====

Record 3
## YPuIn2 (PBE)

Data for a relaxed structure of YPuIn2.

The structure belongs to space group P4/mmm (No. 123); the cell edges are 3.357, 3.357 and 9.328 Å and the angles 90.00°, 90.00° and 90.00°. The distinct sites, in fractional coordinates, are Y at (0.000, 0.000, 0.000), Pu at (0.000, 0.000, 0.500) and In at (0.500, 0.500, 0.247).

The calculation puts the energy of formation at -0.318 eV per atom. For the raw total energy, the calculation gives -27.54 eV per cell.

=====

Record 4
## HfGe2Os (PBE)

Data for a relaxed structure of HfGe2Os.

The structure belongs to space group R-3m (No. 166, hexagonal axes); the cell edges are 4.1995, 4.1995 and 13.2317 Å and the angles 90.00°, 90.00° and 120.00°. The distinct sites, in fractional coordinates, are Hf at (0.0000, 0.0000, 0.0000), Ge at (0.0000, 0.0000, 0.2281) and Os at (0.0000, 0.0000, 0.5000).

The calculation puts the energy of formation at -0.187 eV per atom. For the raw total energy, the calculation gives -93.49 eV per cell.

=====

Record 5
## Er2ZnRh3 (PBE)

Data for a relaxed structure of Er2ZnRh3.

The structure belongs to space group P6_3/mmc (No. 194); the cell edges are 5.5214, 5.5214 and 8.0612 Å and the angles 90.00°, 90.00° and 120.00°. The distinct sites, in fractional coordinates, are Er at (0.3333, 0.6667, 0.0586), Zn at (0.0000, 0.0000, 0.0000) and Rh at (0.1688, 0.3376, 0.7500).

The calculation puts the energy of formation at -0.750 eV per atom. For the raw total energy, the calculation gives -73.91 eV per cell.

=====

Record 6
## Li2NiAu4 (PBE)

Data for a relaxed structure of Li2NiAu4.

The structure belongs to space group I4/mmm (No. 139); the cell edges are 5.667, 5.667 and 7.179 Å and the angles 90.00°, 90.00° and 90.00°. The distinct sites, in fractional coordinates, are Li at (0.000, 0.500, 0.000), Ni at (0.000, 0.000, 0.000) and Au at (0.250, 0.250, 0.250).

The calculation puts the energy of formation at -0.278 eV per atom. For the raw total energy, the calculation gives -49.32 eV per cell.

=====

Record 7
## RbSeO2 (PBE)

Data for a relaxed structure of RbSeO2.

The structure belongs to space group R-3m (No. 166, hexagonal axes); the cell edges are 3.4752, 3.4752 and 20.8235 Å and the angles 90.00°, 90.00° and 120.00°. The distinct sites, in fractional coordinates, are Rb at (0.0000, 0.0000, 0.0000), Se at (0.0000, 0.0000, 0.5000) and O at (0.0000, 0.0000, 0.1223).

For the raw total energy, the calculation gives -46.61 eV per cell. The uncorrected formation energy is -0.29 eV/atom.

=====

Record 8
## UNiSb2 (PBE)

Data for a relaxed structure of UNiSb2.

The structure belongs to space group R-3m (No. 166, hexagonal axes); the cell edges are 3.2072, 3.2072 and 30.0685 Å and the angles 90.00°, 90.00° and 120.00°. The distinct sites, in fractional coordinates, are U at (0.0000, 0.0000, 0.0000), Ni at (0.0000, 0.0000, 0.5000) and Sb at (0.0000, 0.0000, 0.1049).

For the raw total energy, the calculation gives -73.34 eV per cell. The uncorrected formation energy is 0.22 eV/atom.

=====

Record 9
## SrZnHg3 (PBE)

Data for a relaxed structure of SrZnHg3.

The structure belongs to space group Pm-3m (No. 221); the cell edges are 6.543, 6.543 and 6.543 Å and the angles 90.00°, 90.00° and 90.00°. The distinct sites, in fractional coordinates, are Sr at (0.000, 0.000, 0.000), Zn at (0.500, 0.500, 0.500) and Hg at (0.000, 0.000, 0.500).

The calculation puts the energy of formation at 0.308 eV per atom. As for the energy relative to the lowest polymorph listed for this composition: 2.96 eV per formula unit. For the raw total energy, the calculation gives -2.32 eV per cell.

=====

Record 10
## Sr2PtClF (PBE)

Data for a relaxed structure of Sr2PtClF.

The structure belongs to space group P4/mmm (No. 123); the cell edges are 5.681, 5.681 and 4.624 Å and the angles 90.00°, 90.00° and 90.00°. The distinct sites, in fractional coordinates, are Sr at (0.000, 0.500, 0.000), Pt at (0.000, 0.000, 0.500), Cl at (0.000, 0.000, 0.000) and F at (0.500, 0.500, 0.500).

For the raw total energy, the calculation gives -17.90 eV per cell. The uncorrected formation energy is -0.96 eV/atom.

=====

Record 11
## ErHfCu (PBE)

Data for a relaxed structure of ErHfCu.

The structure belongs to space group I4mm (No. 107); the cell edges are 3.304, 3.304 and 11.562 Å and the angles 90.00°, 90.00° and 90.00°. The distinct sites, in fractional coordinates, are Er at (0.000, 0.000, 0.000), Hf at (0.000, 0.000, 0.302) and Cu at (0.000, 0.000, 0.674).

The calculation puts the energy of formation at -0.071 eV per atom. As for the energy relative to the lowest polymorph listed for this composition: 0.00 eV per formula unit. For the raw total energy, the calculation gives -37.65 eV per cell.

=====

Record 12
## Tb6AgRu2 (PBE)

Data for a relaxed structure of Tb6AgRu2.

The structure belongs to space group Immm (No. 71); the cell edges are 9.384, 9.501 and 10.392 Å and the angles 90.00°, 90.00° and 90.00°. The distinct sites, in fractional coordinates, are Tb at (0.000, 0.198, 0.241), Tb at (0.186, 0.500, 0.171), Tb at (0.218, 0.319, 0.500), Ag at (0.000, 0.000, 0.000), Ag at (0.000, 0.000, 0.500), Ru at (0.000, 0.322, 0.000) and Ru at (0.000, 0.500, 0.374).

The calculation puts the energy of formation at -0.299 eV per atom. As for the energy relative to the lowest polymorph listed for this composition: 0.00 eV per formula unit. For the raw total energy, the calculation gives -207.51 eV per cell.